(1)
Here is crystalline Cd2Ag4Pt at its relaxed geometry from the Alexandria database. Energies are from PBE-GGA.

```
Cd2Ag4Pt
1.0
-0.444 7.080 -0.030
-0.850 -2.441 -6.606
-5.067 -2.687 4.175
Ag Cd Pt
8 4 2
Direct
0.293 0.248 0.884 Ag
0.795 0.252 0.887 Ag
0.457 0.092 0.205 Ag
0.116 0.408 0.363 Ag
0.634 0.748 0.543 Ag
0.113 0.908 0.366 Ag
0.955 0.592 0.707 Ag
0.637 0.752 0.045 Ag
0.875 0.133 0.508 Cd
0.375 0.867 0.742 Cd
0.258 0.633 0.125 Cd
0.492 0.367 0.625 Cd
0.000 0.000 0.000 Pt
0.750 0.500 0.250 Pt
```

Calculated values
Polymorph energy (0 for the lowest one), meV/atom: 106
Space-group type: I-42d, No. 122
Electronic total energy, eV/atom: -2.65
DOS at the Fermi energy, states/eV/f.u.: 2.79

(2)
Here is crystalline YScMn17 at its relaxed geometry from the Alexandria database. Energies are from PBE-GGA.

```
YScMn17
1.0
6.197 0.073 0.813
0.723 6.155 0.813
0.082 0.073 6.250
Mn Sc Y
17 1 1
Direct
0.497 0.001 0.001 Mn
0.341 0.847 0.341 Mn
0.705 0.291 0.004 Mn
0.001 0.001 0.497 Mn
0.004 0.291 0.705 Mn
0.291 0.705 0.004 Mn
0.705 0.004 0.291 Mn
0.658 0.155 0.658 Mn
0.847 0.341 0.341 Mn
0.092 0.092 0.092 Mn
0.001 0.497 0.001 Mn
0.291 0.004 0.705 Mn
0.909 0.909 0.909 Mn
0.004 0.705 0.291 Mn
0.155 0.658 0.658 Mn
0.658 0.658 0.155 Mn
0.341 0.341 0.847 Mn
0.344 0.344 0.344 Sc
0.656 0.656 0.656 Y
```

Calculated values
Space-group type: R3m, No. 160
Electronic total energy, eV/atom: -8.85
DOS at the Fermi energy, states/eV/f.u.: 27.48

(3)
Here is crystalline Ba3PuNp2O9 at its relaxed geometry from the Alexandria database. Energies are from PBE-GGA.

```
Ba3PuNp2O9
1.0
6.258 0.000 0.000
-3.129 5.419 0.000
0.000 0.000 7.664
Ba O Np Pu
3 9 2 1
Direct
0.667 0.333 0.335 Ba
0.333 0.667 0.665 Ba
0.000 0.000 0.000 Ba
0.169 0.338 0.330 O
0.500 0.500 0.000 O
0.662 0.831 0.330 O
0.831 0.662 0.670 O
0.000 0.500 0.000 O
0.169 0.831 0.330 O
0.831 0.169 0.670 O
0.338 0.169 0.670 O
0.500 0.000 0.000 O
0.667 0.333 0.833 Np
0.333 0.667 0.167 Np
0.000 0.000 0.500 Pu
```

Calculated values
Formation energy (no corrections), eV per formula unit: -44.5
Space-group type: P-3m1, No. 164
Electronic total energy, eV/atom: -9.01
DOS at the Fermi energy, states/eV/f.u.: 13.58

(4)
Here is crystalline NaGeSb2 at its relaxed geometry from the Alexandria database. Energies are from PBE-GGA.

```
NaGeSb2
1.0
-1.509 3.929 -1.020
-4.227 -1.916 -1.124
-1.471 0.604 4.502
Sb Na Ge
2 1 1
Direct
0.000 0.000 0.500 Sb
0.000 0.500 0.000 Sb
0.500 0.000 0.000 Na
0.500 0.500 0.500 Ge
```

Calculated values
Formation energy (no corrections), eV per formula unit: 0.0
Space-group type: P4/mmm, No. 123
Electronic total energy, eV/atom: -3.54
DOS at the Fermi energy, states/eV/f.u.: 1.81

(5)
Here is crystalline CaPm2Tl at its relaxed geometry from the Alexandria database. Energies are from PBE-GGA.

```
CaPm2Tl
1.0
5.641 0.000 0.000
2.820 4.885 0.000
2.820 1.628 4.605
Pm Ca Tl
2 1 1
Direct
0.250 0.250 0.250 Pm
0.000 0.000 0.000 Pm
0.500 0.500 0.500 Ca
0.750 0.750 0.751 Tl
```

Calculated values
Polymorph energy (0 for the lowest one), meV/atom: 198
Space-group type: F-43m, No. 216
Electronic total energy, eV/atom: -3.45
DOS at the Fermi energy, states/eV/f.u.: 6.84

(6)
Here is crystalline YNbRu2 at its relaxed geometry from the Alexandria database. Energies are from PBE-GGA.

```
YNbRu2
1.0
3.239 0.000 0.000
0.000 3.239 0.000
0.000 0.000 6.834
Nb Ru Y
1 2 1
Direct
0.500 0.500 0.000 Nb
0.000 0.000 0.220 Ru
0.000 0.000 0.780 Ru
0.500 0.500 0.500 Y
```

Calculated values
Space-group type: P4/mmm, No. 123
Electronic total energy, eV/atom: -9.11
DOS at the Fermi energy, states/eV/f.u.: 2.24

(7)
Here is crystalline SiNiI2N at its relaxed geometry from the Alexandria database. Energies are from PBE-GGA.

```
SiNiI2N
1.0
5.460 0.000 0.000
0.000 5.460 0.000
0.000 0.000 3.570
I N Ni Si
2 1 1 1
Direct
0.000 0.500 0.000 I
0.500 0.000 0.000 I
0.000 0.000 0.500 N
0.000 0.000 0.000 Ni
0.500 0.500 0.500 Si
```

Calculated values
Formation energy (no corrections), eV per formula unit: 4.0
Polymorph energy (0 for the lowest one), meV/atom: 185
Space-group type: P4/mmm, No. 123
Electronic total energy, eV/atom: -3.73
DOS at the Fermi energy, states/eV/f.u.: 4.42

(8)
Here is crystalline BaCa2MgS at its relaxed geometry from the Alexandria database. Energies are from PBE-GGA.

```
BaCa2MgS
1.0
5.456 0.000 0.000
0.000 5.456 0.000
0.000 0.000 6.239
Ca Mg S Ba
2 1 1 1
Direct
0.000 0.500 0.000 Ca
0.500 0.000 0.000 Ca
0.500 0.500 0.500 Mg
0.000 0.000 0.000 S
0.000 0.000 0.500 Ba
```

Calculated values
Formation energy (no corrections), eV per formula unit: -3.7
Space-group type: P4/mmm, No. 123
Electronic total energy, eV/atom: -3.07
DOS at the Fermi energy, states/eV/f.u.: 4.07

(9)
Here is crystalline Sr2ScRh at its relaxed geometry from the Alexandria database. Energies are from PBE-GGA.

```
Sr2ScRh
1.0
3.584 0.000 0.000
0.000 3.581 -0.002
0.000 3.588 9.424
Rh Sr Sc
1 2 1
Direct
0.500 0.250 0.250 Rh
0.000 0.942 0.058 Sr
0.000 0.558 0.442 Sr
0.500 0.750 0.750 Sc
```

Calculated values
Polymorph energy (0 for the lowest one), meV/atom: 394
Space-group type: P4/mmm, No. 123
Electronic total energy, eV/atom: -4.13
DOS at the Fermi energy, states/eV/f.u.: 4.89

(10)
Here is crystalline ZrTi3Nb at its relaxed geometry from the Alexandria database. Energies are from PBE-GGA.

```
ZrTi3Nb
1.0
-1.257 4.534 0.203
-0.655 0.027 -4.663
-4.491 -1.273 0.624
Ti Zr Nb
3 1 1
Direct
0.000 0.500 0.000 Ti
0.500 0.000 0.000 Ti
0.000 0.000 0.500 Ti
0.000 0.000 0.000 Zr
0.500 0.500 0.500 Nb
```

Calculated values
Polymorph energy (0 for the lowest one), meV/atom: 1173
Space-group type: Pm-3m, No. 221
Electronic total energy, eV/atom: -7.22
DOS at the Fermi energy, states/eV/f.u.: 9.14

(11)
Here is crystalline Pu4AsO5 at its relaxed geometry from the Alexandria database. Energies are from PBE-GGA.

```
Pu4AsO5
1.0
-4.575 0.627 -2.294
-1.581 -6.917 1.262
-4.378 2.730 9.477
Pu O As
8 10 2
Direct
0.836 0.222 0.000 Pu
0.164 0.722 0.500 Pu
0.529 0.500 0.763 Pu
0.529 0.500 0.237 Pu
0.471 0.000 0.737 Pu
0.836 0.778 0.000 Pu
0.164 0.278 0.500 Pu
0.471 0.000 0.263 Pu
0.330 0.000 0.500 O
0.266 0.276 0.695 O
0.266 0.276 0.305 O
0.734 0.776 0.805 O
0.734 0.224 0.195 O
0.266 0.724 0.305 O
0.734 0.224 0.805 O
0.670 0.500 0.000 O
0.266 0.724 0.695 O
0.734 0.776 0.195 O
0.340 0.000 0.000 As
0.660 0.500 0.500 As
```

Calculated values
Formation energy (no corrections), eV per formula unit: -24.2
Space-group type: Pmmn, No. 59
Electronic total energy, eV/atom: -11.10
DOS at the Fermi energy, states/eV/f.u.: 25.18

(12)
Here is crystalline TaTcAu2 at its relaxed geometry from the Alexandria database. Energies are from PBE-GGA.

```
TaTcAu2
1.0
5.146 0.001 -0.003
4.202 2.970 -0.003
0.956 0.304 4.434
Au Ta Tc
2 1 1
Direct
0.999 0.999 0.002 Au
0.501 0.501 0.498 Au
0.750 0.750 0.750 Ta
0.250 0.250 0.250 Tc
```

Calculated values
Polymorph energy (0 for the lowest one), meV/atom: 151
Space-group type: C2/m, No. 12
Electronic total energy, eV/atom: -7.08
DOS at the Fermi energy, states/eV/f.u.: 2.52